Record 1
Na2HgRh3O8: optimized geometry, PBE-GGA.

Properties
Formation energy from raw total energies = -0.86 eV per atom
Total moment = 0.48 μB per formula unit

abc: 6.2920 6.2920 6.5195
angles: 61.15 61.15 60.00
With the nearest neighbours (Å) after each atom.
Fractional positions:
O 0.2434 0.2434 0.8188  2 Rh 1.97
O 0.2688 0.2688 0.1935  3 Rh 2.08
O 0.2434 0.6944 0.8188  2 Rh 1.97
O 0.3111 0.7488 0.1914  2 Rh 2.02, 1 Hg 2.26
O 0.7488 0.3111 0.1914  2 Rh 2.02, 1 Hg 2.26
O 0.6944 0.2434 0.8188  2 Rh 1.97
O 0.7488 0.7488 0.1914  2 Rh 2.02, 1 Hg 2.26
O 0.7317 0.7317 0.8049  3 Rh 2.12, 1 Hg 2.36
Na 0.4985 0.4985 0.5045  6 O 2.32-2.36
Na 0.1251 0.1251 0.6247  4 O 2.25-2.33
Hg 0.8768 0.8768 0.3697  4 O 2.26-2.36
Rh 0.0058 0.4981 0.9981  6 O 1.97-2.12
Rh 0.4981 0.4981 0.9981  6 O 1.97-2.12
Rh 0.4981 0.0058 0.9981  6 O 1.97-2.12

---

Record 2
Na2HgRhO4: optimized geometry, PBE-GGA.

Properties
Formation energy from raw total energies = -0.92 eV per atom
Total moment = 0.91 μB per formula unit

abc: 3.2158 6.1312 5.7825
angles: 114.76 90.00 90.00
With the nearest neighbours (Å) after each atom.
Fractional positions:
Na 0.5000 0.0000 0.5000  4 O 2.47
Na 0.0000 0.5000 0.5000  6 O 2.33-2.43
O 0.5000 0.7040 0.8068  1 Rh 2.00
O 0.0000 0.2975 0.7821  2 Rh 2.10
O 0.5000 0.2960 0.1932  1 Rh 2.00
O 0.0000 0.7025 0.2179  2 Rh 2.10
Hg 0.0000 0.0000 0.0000  4 O 2.33
Rh 0.5000 0.5000 0.0000  6 O 2.00-2.10

---

Record 3
NaHgRuO4: optimized geometry, PBE-GGA.

Properties
Formation energy from raw total energies = -0.82 eV per atom
Total moment = 1.03 μB per formula unit

abc: 6.9700 6.4030 7.4866
angles: 90.00 103.27 90.00
With the nearest neighbours (Å) after each atom.
Fractional positions:
Hg 0.1687 0.2500 0.0462  3 O 3.13-3.18, 1 Na 3.27
Hg 0.8313 0.7500 0.9538  3 O 3.13-3.18, 1 Na 3.27
O 0.5781 0.2500 0.3251  1 Ru 1.73
O 0.4219 0.7500 0.6749  1 Ru 1.73
O 0.1520 0.5299 0.3932  1 Ru 1.77
O 0.1520 0.9701 0.3932  1 Ru 1.77
O 0.8480 0.0299 0.6068  1 Ru 1.77
O 0.8480 0.4701 0.6068  1 Ru 1.77
O 0.4825 0.7500 0.3069  1 Ru 1.75
O 0.5175 0.2500 0.6931  1 Ru 1.75
Na 0.1683 0.2500 0.6095  5 O 2.37-2.64
Na 0.8317 0.7500 0.3905  5 O 2.37-2.64
Ru 0.6910 0.2500 0.5572  4 O 1.73-1.77
Ru 0.3090 0.7500 0.4428  4 O 1.73-1.77

---

Record 4
NaHgSO4: optimized geometry, PBE-GGA.

Properties
Formation energy from raw total energies = -1.22 eV per atom
Total moment = 0.00 μB per formula unit

abc: 5.5698 6.9180 6.9180
angles: 63.03 66.26 66.26
With the nearest neighbours (Å) after each atom.
Fractional positions:
O 0.3257 0.5937 0.7549  1 S 1.48
O 0.7121 0.2602 0.7602  1 S 1.51
O 0.2879 0.7398 0.2398  1 S 1.51
O 0.2676 0.2602 0.7602  1 S 1.51
O 0.3257 0.2549 0.0937  1 S 1.48
O 0.6743 0.7451 0.9063  1 S 1.48
O 0.6743 0.4063 0.2451  1 S 1.48
O 0.7324 0.7398 0.2398  1 S 1.51
S 0.4061 0.3439 0.8439  4 O 1.48-1.51
S 0.5939 0.6561 0.1561  4 O 1.48-1.51
Na 0.0000 0.5000 0.5000  4 O 2.38
Na 0.0000 0.0000 0.0000  4 O 2.38
Hg 0.0000 0.0000 0.5000  6 O 2.71-2.88, 2 Hg 2.78
Hg 0.5000 0.0000 0.5000  6 O 2.71-2.88, 2 Hg 2.78

---

Record 5
Na2HgSbO4: optimized geometry, PBE-GGA.

Properties
Formation energy from raw total energies = -1.20 eV per atom
Total moment = 0.00 μB per formula unit

abc: 6.3034 6.3034 6.3034
angles: 72.57 130.53 130.53
With the nearest neighbours (Å) after each atom.
Fractional positions:
O 0.9830 0.1696 0.5984  1 Sb 1.94
O 0.5712 0.4016 0.3847  1 Sb 1.94
O 0.4288 0.8134 0.8304  1 Sb 1.94
O 0.0170 0.6153 0.1866  1 Sb 1.94
Na 0.0000 0.0000 0.0000  4 O 2.40
Na 0.5000 0.7500 0.2500  4 O 2.33
Hg 0.5000 0.2500 0.7500  4 O 2.43
Sb 0.0000 0.5000 0.5000  4 O 1.94

---

Record 6
Na2Hg2SbO6: optimized geometry, PBE-GGA.

Properties
Formation energy from raw total energies = -0.98 eV per atom
Total moment = 1.09 μB per formula unit

abc: 5.9657 5.9657 5.8107
angles: 94.22 94.22 119.12
With the nearest neighbours (Å) after each atom.
Fractional positions:
Sb 0.0000 0.0000 0.5000  6 O 1.97-2.06
Na 0.3403 0.6597 0.5000  6 O 2.39-2.55
Na 0.6597 0.3403 0.5000  6 O 2.39-2.55
O 0.6983 0.9924 0.2948  1 Sb 2.06, 1 Hg 2.07
O 0.3017 0.0076 0.7052  1 Sb 2.06, 1 Hg 2.07
O 0.2477 0.2477 0.3130  1 Sb 1.97
O 0.9924 0.6983 0.2948  1 Sb 2.06, 1 Hg 2.07
O 0.0076 0.3017 0.7052  1 Sb 2.06, 1 Hg 2.07
O 0.7523 0.7523 0.6870  1 Sb 1.97
Hg 0.8473 0.1527 0.0000  2 O 2.07
Hg 0.1527 0.8473 0.0000  2 O 2.07

---

Record 7
NaHg2SbO4: optimized geometry, PBE-GGA.

Properties
Formation energy from raw total energies = -0.91 eV per atom
Total moment = 0.00 μB per formula unit

abc: 5.7887 6.6436 6.7644
angles: 127.57 126.28 83.47
With the nearest neighbours (Å) after each atom.
Fractional positions:
O 0.1303 0.0241 0.7869  1 Sb 1.93
O 0.4254 0.8773 0.3200  1 Sb 1.91
O 0.6837 0.4541 0.0586  1 Sb 1.94
O 0.6642 0.5636 0.5675  1 Sb 1.89
Na 0.9481 0.5003 0.9314  3 O 2.27-2.40
Hg 0.6021 0.0581 0.1203  1 O 2.20
Hg 0.2028 0.1801 0.5412  2 O 2.27-2.44
Sb 0.7304 0.7295 0.4483  4 O 1.89-1.94

---

Record 8
NaHgSeO4: optimized geometry, PBE-GGA.

Properties
Formation energy from raw total energies = -0.80 eV per atom
Total moment = 0.00 μB per formula unit

abc: 5.9128 6.8918 6.8918
angles: 63.63 64.60 64.60
With the nearest neighbours (Å) after each atom.
Fractional positions:
O 0.2993 0.6420 0.7594  1 Se 1.68
O 0.7445 0.7398 0.2398  1 Se 1.70
O 0.7241 0.2602 0.7602  1 Se 1.70
O 0.7007 0.7406 0.8580  1 Se 1.68
O 0.2759 0.7398 0.2398  1 Se 1.70
O 0.2555 0.2602 0.7602  1 Se 1.70
O 0.7007 0.3580 0.2406  1 Se 1.68
O 0.2993 0.2594 0.1420  1 Se 1.68
Se 0.3927 0.3573 0.8573  4 O 1.68-1.70
Se 0.6073 0.6427 0.1427  4 O 1.68-1.70
Hg 0.0000 0.0000 0.5000  6 O 2.63-2.73
Hg 0.5000 0.0000 0.5000  6 O 2.63-2.73
Na 0.0000 0.0000 0.0000  4 O 2.40
Na 0.0000 0.5000 0.5000  4 O 2.40

---

Record 9
NaHgSe2O6: optimized geometry, PBE-GGA.

Properties
Formation energy from raw total energies = -0.79 eV per atom
Total moment = 0.02 μB per formula unit

abc: 7.4598 7.4598 6.6878
angles: 106.69 106.69 91.18
With the nearest neighbours (Å) after each atom.
Fractional positions:
Hg 0.7661 0.2339 0.7500  4 O 2.27-2.29
Hg 0.2339 0.7661 0.2500  4 O 2.27-2.29
O 0.8916 0.4583 0.2315  1 Se 1.69
O 0.2761 0.4889 0.3319  1 Se 1.74
O 0.9494 0.7911 0.0233  1 Se 1.73
O 0.2089 0.0506 0.4767  1 Se 1.73
O 0.4583 0.8916 0.7315  1 Se 1.69
O 0.5417 0.1084 0.2685  1 Se 1.69
O 0.4889 0.2761 0.8319  1 Se 1.74
O 0.1084 0.5417 0.7685  1 Se 1.69
O 0.7911 0.9494 0.5233  1 Se 1.73
O 0.0506 0.2089 0.9767  1 Se 1.73
O 0.5111 0.7239 0.1681  1 Se 1.74
O 0.7239 0.5111 0.6681  1 Se 1.74
Se 0.6711 0.9249 0.2517  3 O 1.69-1.74
Se 0.0751 0.3289 0.2483  3 O 1.69-1.74
Se 0.9249 0.6711 0.7517  3 O 1.69-1.74
Se 0.3289 0.0751 0.7483  3 O 1.69-1.74
Na 0.5781 0.4219 0.2500  6 O 2.39-2.57
Na 0.4219 0.5781 0.7500  6 O 2.39-2.57

---

Record 10
Na2HgSeO4: optimized geometry, PBE-GGA.

Properties
Formation energy from raw total energies = -0.87 eV per atom
Total moment = 0.00 μB per formula unit

abc: 6.1948 6.1948 6.1948
angles: 73.13 130.17 130.17
With the nearest neighbours (Å) after each atom.
Fractional positions:
O 0.4207 0.8210 0.8171  1 Se 1.89
O 0.0040 0.1829 0.6036  1 Se 1.89
O 0.9960 0.5997 0.1790  1 Se 1.89
O 0.5793 0.3964 0.4003  1 Se 1.89
Hg 0.5000 0.2500 0.7500  4 O 2.33
Na 0.5000 0.7500 0.2500  4 O 2.35
Na 0.0000 0.0000 0.0000  4 O 2.40
Se 0.0000 0.5000 0.5000  4 O 1.89

---

Record 11
NaHg2SeO4: optimized geometry, PBE-GGA.

Properties
Formation energy from raw total energies = -0.57 eV per atom
Total moment = 0.00 μB per formula unit

abc: 6.9168 6.9168 7.1715
angles: 112.81 112.81 104.42
With the nearest neighbours (Å) after each atom.
Fractional positions:
Hg 0.5000 0.0000 0.0000  2 O 2.04
Hg 0.0000 0.0000 0.5000  2 O 2.06
Hg 0.5000 0.5000 0.0000  2 O 2.06
Hg 0.5000 0.0000 0.5000  2 O 2.04
Na 0.0000 0.5000 0.0000  6 O 2.42-2.54
Na 0.0000 0.5000 0.5000  6 O 2.42-2.54
Se 0.5000 0.5000 0.5000  4 O 1.99-2.03
Se 0.0000 0.0000 0.0000  4 O 1.99-2.03
O 0.0757 0.1680 0.8468  1 Se 1.99, 1 Hg 2.06
O 0.1779 0.8147 0.9371  1 Se 2.03, 1 Hg 2.04
O 0.6680 0.5757 0.3468  1 Se 1.99, 1 Hg 2.06
O 0.3320 0.4243 0.6532  1 Se 1.99, 1 Hg 2.06
O 0.3147 0.6779 0.4371  1 Se 2.03, 1 Hg 2.04
O 0.8221 0.1853 0.0629  1 Se 2.03, 1 Hg 2.04
O 0.9243 0.8320 0.1532  1 Se 1.99, 1 Hg 2.06
O 0.6853 0.3221 0.5629  1 Se 2.03, 1 Hg 2.04

---

Record 12
Na2TaHgO4: optimized geometry, PBE-GGA.

Properties
Formation energy from raw total energies = -1.84 eV per atom
Total moment = 0.00 μB per formula unit

abc: 6.4301 6.4301 6.4301
angles: 69.51 132.46 132.46
With the nearest neighbours (Å) after each atom.
Fractional positions:
Na 0.5000 0.7500 0.2500  4 O 2.32
Na 0.0000 0.0000 0.0000  4 O 2.39
O 0.9601 0.1691 0.5886  1 Ta 1.88
O 0.0399 0.6286 0.2090  1 Ta 1.88
O 0.5805 0.4114 0.3714  1 Ta 1.88
O 0.4195 0.7910 0.8309  1 Ta 1.88
Hg 0.5000 0.2500 0.7500  4 O 2.54
Ta 0.0000 0.5000 0.5000  4 O 1.88

---

Record 13
NaTc2HgO8: optimized geometry, PBE-GGA.

Properties
Formation energy from raw total energies = -1.27 eV per atom
Total moment = 0.00 μB per formula unit

abc: 6.6078 6.5115 7.6997
angles: 48.50 64.59 59.51
With the nearest neighbours (Å) after each atom.
Fractional positions:
O 0.6442 0.5741 0.1375  1 Tc 1.74
O 0.1432 0.4642 0.2494  1 Tc 1.76
O 0.4178 0.0036 0.7320  1 Tc 1.75
O 0.8466 0.0036 0.7320  1 Tc 1.75
O 0.1534 0.9964 0.2680  1 Tc 1.75
O 0.8568 0.5358 0.7506  1 Tc 1.76
O 0.3558 0.4259 0.8625  1 Tc 1.74
O 0.5822 0.9964 0.2680  1 Tc 1.75
Tc 0.3059 0.2207 0.1675  4 O 1.74-1.76
Tc 0.6941 0.7793 0.8325  4 O 1.74-1.76
Hg 0.0000 0.0000 0.0000  6 O 2.47-2.64
Na 0.5000 0.5000 0.5000  2 O 2.31

---

Record 14
Na2TcHg2O6: optimized geometry, PBE-GGA.

Properties
Formation energy from raw total energies = -0.95 eV per atom
Total moment = 0.00 μB per formula unit

abc: 5.5389 5.5389 6.3425
angles: 105.10 105.10 113.94
With the nearest neighbours (Å) after each atom.
Fractional positions:
O 0.8506 0.8506 0.7195  1 Tc 1.99
O 0.1494 0.1494 0.2805  1 Tc 1.99
O 0.9098 0.6210 0.3137  1 Tc 1.90
O 0.0902 0.3790 0.6863  1 Tc 1.90
O 0.3790 0.0902 0.6863  1 Tc 1.90
O 0.6210 0.9098 0.3137  1 Tc 1.90
Na 0.6531 0.3469 0.5000  6 O 2.31-2.40
Na 0.3469 0.6531 0.5000  6 O 2.31-2.40
Hg 0.1938 0.8062 0.0000  4 O 2.38-2.40
Hg 0.8062 0.1938 0.0000  4 O 2.38-2.40
Tc 0.0000 0.0000 0.5000  6 O 1.90-1.99

---

Record 15
NaHg2TeO4: optimized geometry, PBE-GGA.

Properties
Formation energy from raw total energies = -0.72 eV per atom
Total moment = 0.00 μB per formula unit

abc: 7.2641 7.2641 7.3110
angles: 112.69 112.69 107.42
With the nearest neighbours (Å) after each atom.
Fractional positions:
Hg 0.5000 0.0000 0.0000  2 O 2.04
Hg 0.0000 0.0000 0.5000  2 O 2.04
Hg 0.5000 0.0000 0.5000  2 O 2.04
Hg 0.5000 0.5000 0.0000  2 O 2.04
O 0.3198 0.6694 0.4098  1 Hg 2.04, 1 Te 2.14
O 0.0385 0.1669 0.8222  1 Hg 2.04, 1 Te 2.13
O 0.6669 0.5385 0.3222  1 Hg 2.04, 1 Te 2.13
O 0.9615 0.8331 0.1778  1 Hg 2.04, 1 Te 2.13
O 0.1695 0.8198 0.9098  1 Hg 2.04, 1 Te 2.14
O 0.3331 0.4615 0.6778  1 Hg 2.04, 1 Te 2.13
O 0.6802 0.3305 0.5902  1 Hg 2.04, 1 Te 2.14
O 0.8306 0.1802 0.0902  1 Hg 2.04, 1 Te 2.14
Te 0.0000 0.0000 0.0000  4 O 2.13-2.14
Te 0.5000 0.5000 0.5000  4 O 2.13-2.14
Na 0.0000 0.5000 0.5000  4 O 2.43-2.44
Na 0.0000 0.5000 0.0000  4 O 2.43-2.44

---

Record 16
NaHg2TeO6: optimized geometry, PBE-GGA.

Properties
Formation energy from raw total energies = -0.73 eV per atom
Total moment = 1.08 μB per formula unit

abc: 5.7253 5.7247 6.0240
angles: 61.62 61.62 59.99
With the nearest neighbours (Å) after each atom.
Fractional positions:
O 0.1279 0.4126 0.7900  1 Te 1.97
O 0.6695 0.1280 0.7899  1 Te 1.97
O 0.4125 0.6696 0.7900  1 Te 1.97
O 0.2137 0.9863 0.2446  1 Te 1.96
O 0.9863 0.5555 0.2446  1 Te 1.96
O 0.5556 0.2136 0.2444  1 Te 1.97
Hg 0.0222 0.0222 0.9334  6 O 2.26-2.47
Hg 0.5425 0.5424 0.3727  3 O 2.31
Te 0.3234 0.3234 0.0297  6 O 1.96-1.97
Na 0.8080 0.8079 0.5761  6 O 2.34-2.54

---

Record 17
Na4Tl3HgO8: optimized geometry, PBE-GGA.

Properties
Formation energy from raw total energies = -0.95 eV per atom
Total moment = 0.96 μB per formula unit

abc: 6.7277 6.7573 6.9221
angles: 119.69 119.08 90.00
With the nearest neighbours (Å) after each atom.
Fractional positions:
Na 0.5000 0.0000 0.0000  6 O 2.36-2.53
Na 0.5000 0.0000 0.5000  6 O 2.44-2.56
Na 0.0000 0.0000 0.5000  6 O 2.44-2.56
Na 0.0000 0.0000 0.0000  6 O 2.45-2.63
O 0.2637 0.7364 0.5274  2 Tl 2.26, 3 Na 2.36-2.52
O 0.7363 0.2636 0.4726  2 Tl 2.26, 3 Na 2.36-2.52
O 0.2345 0.7224 0.9878  1 Hg 2.24, 2 Tl 2.33-2.44, 1 Na 2.45
O 0.7655 0.2776 0.0122  1 Hg 2.24, 2 Tl 2.33-2.44, 1 Na 2.45
O 0.7363 0.7256 0.4727  3 Tl 2.34-2.36, 2 Na 2.44
O 0.2637 0.2744 0.5273  3 Tl 2.34-2.36, 2 Na 2.44
O 0.7533 0.7224 0.9878  1 Hg 2.24, 2 Tl 2.33-2.44, 1 Na 2.45
O 0.2467 0.2776 0.0122  1 Hg 2.24, 2 Tl 2.33-2.44, 1 Na 2.45
Hg 0.0000 0.5000 0.0000  4 O 2.24
Tl 0.0000 0.5000 0.5000  6 O 2.26-2.44
Tl 0.5000 0.5000 0.0000  6 O 2.33-2.36
Tl 0.5000 0.5000 0.5000  6 O 2.26-2.44

---

Record 18
Na2TmHgO4: optimized geometry, PBE-GGA.

Properties
Formation energy from raw total energies = -1.72 eV per atom
Total moment = 1.04 μB per formula unit

abc: 3.4043 5.7586 5.9651
angles: 108.98 90.00 90.00
With the nearest neighbours (Å) after each atom.
Fractional positions:
Hg 0.0000 0.0000 0.0000  6 O 2.37
Na 0.5000 0.0000 0.5000  6 O 2.51-2.56
Na 0.0000 0.5000 0.5000  6 O 2.42-2.45
O 0.5000 0.7448 0.7706  1 Tm 2.26, 2 Hg 2.37, 3 Na 2.45-2.51
O 0.0000 0.2779 0.7817  2 Tm 2.27, 1 Hg 2.37, 1 Na 2.42
O 0.5000 0.2552 0.2294  1 Tm 2.26, 2 Hg 2.37, 3 Na 2.45-2.51
O 0.0000 0.7221 0.2183  2 Tm 2.27, 1 Hg 2.37, 1 Na 2.42
Tm 0.5000 0.5000 0.0000  6 O 2.26-2.27

---

Record 19
NaUHg2O6: optimized geometry, PBE-GGA.

Properties
Formation energy from raw total energies = -1.50 eV per atom
Total moment = 0.00 μB per formula unit

abc: 5.8680 5.8672 6.1358
angles: 61.43 61.40 59.95
With the nearest neighbours (Å) after each atom.
Fractional positions:
O 0.1046 0.4128 0.8091  1 U 2.08, 1 Hg 2.19
O 0.6737 0.1043 0.8091  1 U 2.08, 1 Hg 2.19
O 0.4127 0.6733 0.8090  1 U 2.08, 1 Hg 2.19
O 0.5277 0.2195 0.2939  1 U 2.08, 1 Hg 2.19
O 0.2196 0.9590 0.2941  1 U 2.08, 1 Hg 2.19
O 0.9587 0.5280 0.2939  1 U 2.08, 1 Hg 2.19
Na 0.8161 0.8161 0.5515  6 O 2.44
Hg 0.5562 0.5558 0.3317  3 O 2.19
Hg 0.0762 0.0766 0.7712  3 O 2.19
U 0.3162 0.3162 0.0515  6 O 2.08